Record 1
Here is a relaxed CsMnS2O8 crystal from Alexandria. Energies are from GGA+U.

a b c (Å): 4.8876 4.8876 9.4323
angles (deg): 74.98 74.98 60.00
Site moments in Bohr magnetons follow the coordinates.
Fractional coordinates of all 12 atoms:
1 O 0.2176 0.2176 0.3473  0.00
2 O 0.5987 0.2467 0.1297  0.01
3 O 0.0250 0.5987 0.1297  0.01
4 O 0.9750 0.4013 0.8703  0.01
5 O 0.7533 0.9750 0.8703  0.01
6 O 0.4013 0.7533 0.8703  0.01
7 O 0.2467 0.0250 0.1297  0.01
8 O 0.7824 0.7824 0.6527  0.00
9 Cs 0.5000 0.5000 0.5000  0.00
10 S 0.7282 0.7282 0.8155  0.00
11 S 0.2718 0.2718 0.1845  0.00
12 Mn 0.0000 0.0000 0.0000  1.87

Raw total energy, Ry/atom: -0.448
Magnetic moment, μB/atom: 0.17
V, Å³/atom: 15.52

Record 2
Here is a relaxed Cs2ScMnO4 crystal from Alexandria. Energies are from GGA+U.

a b c (Å): 5.5480 7.1320 11.4979
angles (deg): 84.62 76.04 67.11
Site moments in Bohr magnetons follow the coordinates.
Fractional coordinates of all 16 atoms:
1 O 0.3145 0.8210 0.0658  0.00
2 O 0.4355 0.6790 0.4342  0.00
3 O 0.6197 0.1790 0.0658  0.00
4 O 0.5487 0.3210 0.5658  0.00
5 O 0.8855 0.6790 0.5658  0.00
6 O 0.1303 0.3210 0.4342  0.00
7 O 0.2013 0.1790 0.9342  0.00
8 O 0.8645 0.8210 0.9342  0.00
9 Cs 0.8172 0.0000 0.3656  0.00
10 Cs 0.1828 0.0000 0.6344  0.00
11 Cs 0.5672 0.5000 0.8656  0.00
12 Cs 0.9328 0.5000 0.1344  0.00
13 Mn 0.2500 0.5000 0.5000  3.78
14 Mn 0.5000 0.0000 0.0000  3.78
15 Sc 0.0000 0.0000 0.0000  0.04
16 Sc 0.7500 0.5000 0.5000  0.04

Raw total energy, Ry/atom: -0.468
Magnetic moment, μB/atom: 0.50
V, Å³/atom: 25.42

Record 3
Here is a relaxed CsScMnO3 crystal from Alexandria. Energies are from GGA+U.

a b c (Å): 3.4135 7.2755 11.3619
angles (deg): 126.61 90.00 90.00
Site moments in Bohr magnetons follow the coordinates.
Fractional coordinates of all 12 atoms:
1 O 0.7500 0.9342 0.2026  0.01
2 O 0.7500 0.4691 0.0848  0.00
3 O 0.7500 0.1806 0.6274  0.11
4 O 0.2500 0.5309 0.9152  0.00
5 O 0.2500 0.8194 0.3726  0.11
6 O 0.2500 0.0658 0.7974  0.01
7 Mn 0.2500 0.9800 0.5948  4.49
8 Mn 0.7500 0.0200 0.4052  4.49
9 Cs 0.7500 0.6999 0.7815  0.01
10 Cs 0.2500 0.3001 0.2185  0.01
11 Sc 0.7500 0.3048 0.8658  0.01
12 Sc 0.2500 0.6952 0.1342  0.01

Raw total energy, Ry/atom: -0.525
Magnetic moment, μB/atom: 0.83
V, Å³/atom: 18.88

Record 4
Here is a relaxed Cs2MnSe2O6 crystal from Alexandria. Energies are from GGA+U.

a b c (Å): 5.4049 7.5284 7.8110
angles (deg): 119.50 90.00 111.04
Site moments in Bohr magnetons follow the coordinates.
Fractional coordinates of all 11 atoms:
1 O 0.8173 0.1418 0.7180  -0.01
2 O 0.3246 0.1418 0.7180  -0.01
3 O 0.1827 0.8582 0.2820  -0.01
4 O 0.8832 0.7663 0.6584  0.00
5 O 0.1168 0.2337 0.3416  0.00
6 O 0.6754 0.8582 0.2820  -0.01
7 Cs 0.2929 0.5858 0.7724  0.00
8 Cs 0.7071 0.4142 0.2276  0.00
9 Se 0.9753 0.9505 0.2061  0.01
10 Se 0.0247 0.0495 0.7939  0.01
11 Mn 0.5000 0.0000 0.5000  2.97

Raw total energy, Ry/atom: -0.393
Magnetic moment, μB/atom: 0.27
V, Å³/atom: 22.91